(1)
Crystalline CaSc2Fe at its relaxed geometry, computed with GGA-PBE.

It has space group I-4m2 (No. 119), with a = 4.447 Å, b = 4.447 Å, c = 9.242 Å, α = 90.00°, β = 90.00° and γ = 90.00°. Symmetry generates all atoms from Ca at (0.000, 0.000, 0.000), Sc at (0.000, 0.000, 0.500), Sc at (0.000, 0.500, 0.250) and Fe at (0.000, 0.500, 0.750).

The polymorph energy (0 for the lowest one) comes out at 422 meV per atom. The value obtained for the formation energy is 0.42 eV/atom. The value obtained for the raw total energy is -0.197 Ha/atom. The calculation puts the density of states at the Fermi level at 1.536 states/eV per atom.

(2)
Crystalline NaHgP2H6 at its relaxed geometry, computed with GGA-PBE.

It has space group C2/c (No. 15), with a = 11.421 Å, b = 12.069 Å, c = 5.111 Å, α = 90.00°, β = 96.30° and γ = 90.00°. Symmetry generates all atoms from Na at (0.000, 0.208, 0.250), Hg at (0.000, 0.061, 0.750), P at (0.167, 0.366, 0.579), H at (0.113, 0.462, 0.673), H at (0.198, 0.321, 0.836) and H at (0.219, 0.081, 0.434).

The value obtained for the raw total energy is -0.121 Ha/atom. The calculation puts the density of states at the Fermi level at 0.108 states/eV per atom.

(3)
Crystalline SnHgAu2 at its relaxed geometry, computed with GGA-PBE.

It has space group P4/mmm (No. 123), with a = 5.279 Å, b = 5.279 Å, c = 3.084 Å, α = 90.00°, β = 90.00° and γ = 90.00°. Symmetry generates all atoms from Sn at (0.000, 0.000, 0.000), Hg at (0.500, 0.500, 0.000) and Au at (0.000, 0.500, 0.500).

The polymorph energy (0 for the lowest one) comes out at 99 meV per atom. The value obtained for the formation energy is 0.04 eV/atom. The value obtained for the raw total energy is -0.098 Ha/atom. The calculation puts the density of states at the Fermi level at 0.473 states/eV per atom.

(4)
Crystalline MgScAlNi2 at its relaxed geometry, computed with GGA-PBE.

It has space group P4/mmm (No. 123), with a = 4.494 Å, b = 4.494 Å, c = 5.140 Å, α = 90.00°, β = 90.00° and γ = 90.00°. Symmetry generates all atoms from Mg at (0.000, 0.000, 0.000), Sc at (0.500, 0.500, 0.500), Al at (0.500, 0.500, 0.000) and Ni at (0.000, 0.500, 0.500).

The value obtained for the formation energy is 0.77 eV/atom. The value obtained for the raw total energy is -0.142 Ha/atom. The calculation puts the density of states at the Fermi level at 0.615 states/eV per atom.

(5)
Crystalline MgHgPd6 at its relaxed geometry, computed with GGA-PBE.

It has space group R-3m (No. 166, hexagonal axes), with a = 5.3259 Å, b = 5.3259 Å, c = 20.9713 Å, α = 90.00°, β = 90.00° and γ = 120.00°. Symmetry generates all atoms from Mg at (0.0000, 0.0000, 0.0000), Hg at (0.0000, 0.0000, 0.5000) and Pd at (0.0030, 0.5015, 0.4357).

The polymorph energy (0 for the lowest one) comes out at 501 meV per atom. The value obtained for the formation energy is 0.22 eV/atom. The value obtained for the raw total energy is -0.144 Ha/atom. The calculation puts the density of states at the Fermi level at 0.918 states/eV per atom.

(6)
Crystalline Ti2Co2P at its relaxed geometry, computed with GGA-PBE.

It has space group I4/mmm (No. 139), with a = 4.023 Å, b = 4.023 Å, c = 9.187 Å, α = 90.00°, β = 90.00° and γ = 90.00°. Symmetry generates all atoms from Ti at (0.000, 0.500, 0.250), Co at (0.000, 0.000, 0.116) and P at (0.000, 0.000, 0.500).

The polymorph energy (0 for the lowest one) comes out at 551 meV per atom. The value obtained for the formation energy is 0.05 eV/atom. The value obtained for the raw total energy is -0.259 Ha/atom. The calculation puts the density of states at the Fermi level at 1.069 states/eV per atom.

(7)
Crystalline RhAuS2 at its relaxed geometry, computed with GGA-PBE.

It has space group P1 (No. 1), with a = 3.432 Å, b = 6.624 Å, c = 7.399 Å, α = 69.82°, β = 81.60° and γ = 75.42°. Symmetry generates all atoms from Rh at (0.000, 0.000, 0.000), Rh at (0.220, 0.495, 0.173), Au at (0.558, 0.333, 0.670), Au at (0.819, 0.744, 0.613), S at (0.145, 0.773, 0.308), S at (0.389, 0.234, 0.004), S at (0.657, 0.742, 0.935) and S at (0.756, 0.298, 0.365).

The calculation puts the uncorrected formation energy at -0.805 eV per formula unit. The value obtained for the raw total energy is -0.181 Ha/atom. The calculation puts the density of states at the Fermi level at 0.013 states/eV per atom.

(8)
Crystalline Na2InHPb at its relaxed geometry, computed with GGA-PBE.

It has space group P4/mmm (No. 123), with a = 4.833 Å, b = 4.833 Å, c = 4.813 Å, α = 90.00°, β = 90.00° and γ = 90.00°. Symmetry generates all atoms from Na at (0.000, 0.500, 0.000), In at (0.000, 0.000, 0.500), H at (0.500, 0.500, 0.000) and Pb at (0.500, 0.500, 0.500).

The polymorph energy (0 for the lowest one) comes out at 37 meV per atom. The value obtained for the raw total energy is -0.092 Ha/atom. The calculation puts the density of states at the Fermi level at 0.276 states/eV per atom.

(9)
Crystalline Ta5Cd at its relaxed geometry, computed with GGA-PBE.

It has space group P6/mmm (No. 191), with a = 5.6823 Å, b = 5.6823 Å, c = 4.5077 Å, α = 90.00°, β = 90.00° and γ = 120.00°. Symmetry generates all atoms from Ta at (0.0000, 0.5000, 0.0000), Ta at (0.3333, 0.6667, 0.5000) and Cd at (0.0000, 0.0000, 0.5000).

The polymorph energy (0 for the lowest one) comes out at 452 meV per atom. The value obtained for the formation energy is 0.61 eV/atom. The value obtained for the raw total energy is -0.346 Ha/atom. The calculation puts the density of states at the Fermi level at 1.169 states/eV per atom.

(10)
Crystalline Ca2AlZn at its relaxed geometry, computed with GGA-PBE.

It has space group C2/m (No. 12), with a = 9.690 Å, b = 3.639 Å, c = 6.576 Å, α = 90.00°, β = 102.35° and γ = 90.00°. Symmetry generates all atoms from Ca at (0.248, 0.000, 0.252), Al at (0.000, 0.000, 0.500) and Zn at (0.000, 0.500, 0.000).

The value obtained for the formation energy is 0.02 eV/atom. The value obtained for the raw total energy is -0.082 Ha/atom. The calculation puts the density of states at the Fermi level at 0.700 states/eV per atom.

(11)
Crystalline HgAsPtCl2 at its relaxed geometry, computed with GGA-PBE.

It has space group P4/mmm (No. 123), with a = 4.944 Å, b = 4.944 Å, c = 5.635 Å, α = 90.00°, β = 90.00° and γ = 90.00°. Symmetry generates all atoms from Hg at (0.000, 0.000, 0.000), As at (0.000, 0.000, 0.500), Pt at (0.500, 0.500, 0.500) and Cl at (0.000, 0.500, 0.000).

The calculation puts the uncorrected formation energy at 4.626 eV per formula unit. The value obtained for the raw total energy is -0.074 Ha/atom. The calculation puts the density of states at the Fermi level at 1.029 states/eV per atom.

(12)
Crystalline Ag4AsO5 at its relaxed geometry, computed with GGA-PBE.

It has space group I4 (No. 79), with a = 7.259 Å, b = 7.259 Å, c = 5.244 Å, α = 90.00°, β = 90.00° and γ = 90.00°. Symmetry generates all atoms from Ag at (0.097, 0.688, 0.000), As at (0.000, 0.000, 0.549), O at (0.000, 0.000, 0.890) and O at (0.077, 0.765, 0.476).

The calculation puts the uncorrected formation energy at -4.040 eV per formula unit. The value obtained for the raw total energy is -0.165 Ha/atom. The calculation puts the density of states at the Fermi level at 0.399 states/eV per atom.

> Which of these has the highest raw total energy?

HgAsPtCl2

Repeat the twelfth record exactly.
Crystalline Ag4AsO5 at its relaxed geometry, computed with GGA-PBE.

It has space group I4 (No. 79), with a = 7.259 Å, b = 7.259 Å, c = 5.244 Å, α = 90.00°, β = 90.00° and γ = 90.00°. Symmetry generates all atoms from Ag at (0.097, 0.688, 0.000), As at (0.000, 0.000, 0.549), O at (0.000, 0.000, 0.890) and O at (0.077, 0.765, 0.476).

The calculation puts the uncorrected formation energy at -4.040 eV per formula unit. The value obtained for the raw total energy is -0.165 Ha/atom. The calculation puts the density of states at the Fermi level at 0.399 states/eV per atom.